No. 1
A plane-wave DFT calculation with GGA-PBE was carried out for an optimized crystal structure of TcRh2Au.

Structure (POSCAR):
```
TcRh2Au
1.0
-1.933 1.933 4.029
1.933 -1.933 4.029
1.933 1.933 -4.029
Tc Rh Au
1 2 1
Direct
0.000 0.000 0.000 Tc
0.500 0.500 0.000 Rh
0.750 0.250 0.500 Rh
0.250 0.750 0.500 Au
```

ΔE to the lowest computed polymorph = 0.206 eV/atom
Uncorrected energy = -27.67 eV/f.u.
DOS at the Fermi energy = 1.248 states/eV/atom



No. 2
A plane-wave DFT calculation with GGA-PBE was carried out for an optimized crystal structure of TcRhAu2.

Structure (POSCAR):
```
TcRhAu2
1.0
2.827 0.000 0.000
0.000 3.892 0.000
0.000 0.000 5.871
Tc Rh Au
1 1 2
Direct
0.000 0.000 0.000 Tc
0.500 0.500 0.804 Rh
0.000 0.000 0.532 Au
0.500 0.500 0.268 Au
```

ΔE to the lowest computed polymorph = 0.098 eV/atom
Uncorrected energy = -23.62 eV/f.u.
DOS at the Fermi energy = 0.927 states/eV/atom



No. 3
A plane-wave DFT calculation with GGA-PBE was carried out for an optimized crystal structure of TcRh2Au.

Structure (POSCAR):
```
TcRh2Au
1.0
1.388 0.801 9.147
-1.388 0.801 9.147
0.000 -1.602 9.147
Tc Rh Au
1 2 1
Direct
0.000 0.000 0.000 Tc
0.258 0.258 0.258 Rh
0.509 0.509 0.509 Rh
0.755 0.755 0.755 Au
```

ΔE to the lowest computed polymorph = 0.164 eV/atom
Uncorrected energy = -27.84 eV/f.u.
DOS at the Fermi energy = 0.963 states/eV/atom



No. 4
A plane-wave DFT calculation with GGA-PBE was carried out for an optimized crystal structure of Tc2RhAu.

Structure (POSCAR):
```
Tc2RhAu
1.0
-2.874 2.874 5.418
2.874 -2.874 5.418
2.874 2.874 -5.418
Tc Rh Au
4 2 2
Direct
0.103 0.625 0.978 Tc
0.375 0.353 0.478 Tc
0.647 0.125 0.022 Tc
0.875 0.897 0.522 Tc
0.000 0.000 0.000 Rh
0.750 0.250 0.500 Rh
0.250 0.750 0.500 Au
0.500 0.500 0.000 Au
```

ΔE to the lowest computed polymorph = 1.311 eV/atom
Uncorrected energy = -25.80 eV/f.u.
DOS at the Fermi energy = 0.873 states/eV/atom